No. 1
9
Lattice="-3.057 3.337 -4.394 -0.653 -1.653 -5.372 -4.816 -2.313 1.096" Properties=species:S:1:pos:R:3 comment="KMnPtF6 GGA+U relaxed" total_energy_ha_per_atom=-0.179 spacegroup="P1 (1)" total_magnetization_mub_per_cell=3.93 pbc="T T T"
K -5.498 -3.838 -4.159
Mn -4.885 -0.026 -5.947
Pt -3.644 -0.562 -2.689
F -4.299 1.692 -5.780
F -5.047 -1.990 -6.164
F -5.963 -0.055 -4.477
F -3.649 -2.565 -2.715
F -3.110 -0.606 -4.620
F -4.125 -0.185 -7.776

***

No. 2
18
Lattice="-0.202 0.100 -5.969 3.480 -4.850 -0.200 -6.849 -4.920 0.149" Properties=species:S:1:pos:R:3 comment="K3RbMn2F12 GGA+U relaxed" total_energy_ha_per_atom=-0.181 spacegroup="P-4m2 (115)" total_magnetization_mub_per_cell=6.57 pbc="T T T"
K 0.000 0.000 0.000
K 1.639 -2.375 -3.084
K -3.425 -2.460 0.075
Rb -1.786 -4.835 -3.009
Mn -5.279 -3.669 -2.871
Mn 0.069 -3.626 -0.063
F -3.775 -2.589 -2.904
F 1.567 -2.550 -0.096
F 0.677 -4.613 -4.776
F -4.478 -4.749 -1.602
F 0.791 -4.669 -1.407
F -4.567 -4.705 -4.227
F -6.777 -4.745 -2.839
F -1.435 -4.706 -0.031
F -0.739 -2.536 -1.319
F -2.603 -7.442 -4.340
F -0.853 -2.480 -4.688
F -2.514 -7.486 -1.715

***

No. 3
9
Lattice="-4.452 -2.742 -0.969 3.041 -3.468 -4.163 -0.209 -1.765 5.954" Properties=species:S:1:pos:R:3 comment="KRbMnF6 GGA+U relaxed" polymorph_energy_ev_per_fu=0.25 total_energy_ha_per_atom=-0.180 spacegroup="P312 (149)" total_magnetization_mub_per_cell=3.28 pbc="T T T"
K -0.268 -4.271 -1.275
Rb 0.875 -2.332 2.582
Mn -2.226 -1.371 -0.484
F -0.975 -5.864 0.682
F -2.575 -4.526 4.251
F -3.158 -2.354 0.782
F -0.649 -2.108 0.154
F 0.743 -5.203 2.515
F -1.495 -2.164 4.200